(1)
This record from the Alexandria database describes a geometry-optimized ZnReW structure. The functional is PBE.

Unit cell a=7.0683 b=6.8831 c=2.7119 alpha=82.66 beta=74.98 gamma=22.37
Positions (direct):
Zn: 0.0000 0.0000 0.0000
Re: 0.6681 0.6681 0.3319
W: 0.3303 0.3303 0.6697

For the relative energy among the computed polymorphs, the calculation gives 83.2 meV per atom. The calculated formation energy comes out at 0.25 eV/atom. Its space-group type is No. 42.



(2)
This record from the Alexandria database describes a geometry-optimized CuSb2Br2 structure. The functional is PBE.

Unit cell a=7.0169 b=7.0169 c=5.5898 alpha=90.00 beta=90.00 gamma=90.00
Positions (direct):
Cu: 0.0000 0.0000 0.0000
Cu: 0.5000 0.5000 0.0000
Sb: 0.1523 0.3477 0.0000
Sb: 0.3477 0.8477 0.0000
Sb: 0.6523 0.1523 0.0000
Sb: 0.8477 0.6523 0.0000
Br: 0.1861 0.3139 0.5000
Br: 0.3139 0.8139 0.5000
Br: 0.6861 0.1861 0.5000
Br: 0.8139 0.6861 0.5000

Its space-group type is No. 127. As for the uncorrected formation energy: -0.1239 eV/atom.



(3)
This record from the Alexandria database describes a geometry-optimized TaOs2Ru structure. The functional is PBE.

Unit cell a=9.4164 b=9.4164 c=9.4164 alpha=156.44 beta=156.44 gamma=33.56
Positions (direct):
Ta: 0.0000 0.0000 0.0000
Ta: 0.7500 0.2500 0.5000
Os: 0.1515 0.6250 0.0265
Os: 0.3750 0.4015 0.5265
Os: 0.5985 0.1250 0.9735
Os: 0.8750 0.8485 0.4735
Ru: 0.2500 0.7500 0.5000
Ru: 0.5000 0.5000 0.0000

For the relative energy among the computed polymorphs, the calculation gives 782.2 meV per atom. The calculated formation energy comes out at 0.62 eV/atom. Its space-group type is No. 122.



(4)
This record from the Alexandria database describes a geometry-optimized InBi3Au structure. The functional is PBE.

Unit cell a=5.6412 b=5.6412 c=5.6412 alpha=90.00 beta=90.00 gamma=90.00
Positions (direct):
In: 0.0000 0.0000 0.0000
Bi: 0.0000 0.5000 0.5000
Bi: 0.5000 0.0000 0.5000
Bi: 0.5000 0.5000 0.0000
Au: 0.5000 0.5000 0.5000

For the relative energy among the computed polymorphs, the calculation gives 0.0 meV per atom. The calculated formation energy comes out at 0.41 eV/atom. Its space-group type is No. 221.



(5)
This record from the Alexandria database describes a geometry-optimized Mn2WCl structure. The functional is PBE.

Unit cell a=8.1005 b=8.1005 c=8.1005 alpha=21.67 beta=21.67 gamma=21.67
Positions (direct):
Mn: 0.2504 0.2504 0.2504
Mn: 0.7496 0.7496 0.7496
W: 0.0000 0.0000 0.0000
Cl: 0.5000 0.5000 0.5000

For the relative energy among the computed polymorphs, the calculation gives 35.7 meV per atom. Its space-group type is No. 166. As for the uncorrected formation energy: 0.2109 eV/atom.



(6)
This record from the Alexandria database describes a geometry-optimized KCdRu structure. The functional is PBE.

Unit cell a=4.8816 b=4.8816 c=4.8816 alpha=60.00 beta=60.00 gamma=60.00
Positions (direct):
K: 0.0000 0.0000 0.0000
Cd: 0.5000 0.5000 0.5000
Ru: 0.7500 0.7500 0.7500

For the relative energy among the computed polymorphs, the calculation gives 533.9 meV per atom. The calculated formation energy comes out at 1.19 eV/atom. Its space-group type is No. 216.



(7)
This record from the Alexandria database describes a geometry-optimized PaSiTc structure. The functional is PBE.

Unit cell a=4.3723 b=4.3723 c=3.4171 alpha=90.00 beta=90.00 gamma=120.00
Positions (direct):
Pa: 0.0000 0.0000 0.0000
Si: 0.6667 0.3333 0.5000
Tc: 0.3333 0.6667 0.5000

For the relative energy among the computed polymorphs, the calculation gives 229.7 meV per atom. Its space-group type is No. 187. As for the uncorrected formation energy: -0.4391 eV/atom.



(8)
This record from the Alexandria database describes a geometry-optimized Nd5Ho12Tm structure. The functional is PBE.

Unit cell a=10.4116 b=10.4116 c=5.7292 alpha=90.00 beta=90.00 gamma=111.45
Positions (direct):
Nd: 0.0000 0.0000 0.0000
Nd: 0.1397 0.8603 0.5000
Nd: 0.3635 0.6365 0.0000
Nd: 0.6365 0.3635 0.0000
Nd: 0.8603 0.1397 0.5000
Ho: 0.0250 0.6663 0.0000
Ho: 0.1660 0.5221 0.5000
Ho: 0.2016 0.2016 0.5000
Ho: 0.3021 0.3021 0.0000
Ho: 0.3337 0.9750 0.0000
Ho: 0.4779 0.8340 0.5000
Ho: 0.5221 0.1660 0.5000
Ho: 0.6663 0.0250 0.0000
Ho: 0.6979 0.6979 0.0000
Ho: 0.7984 0.7984 0.5000
Ho: 0.8340 0.4779 0.5000
Ho: 0.9750 0.3337 0.0000
Tm: 0.5000 0.5000 0.5000

The calculated formation energy comes out at 0.09 eV/atom. Its space-group type is No. 65.



(9)
This record from the Alexandria database describes a geometry-optimized Er2Be3AlCu12 structure. The functional is PBE.

Unit cell a=7.2098 b=7.2098 c=7.2098 alpha=62.70 beta=62.70 gamma=62.70
Positions (direct):
Er: 0.0987 0.0987 0.0987
Er: 0.9013 0.9013 0.9013
Be: 0.0000 0.5000 0.5000
Be: 0.5000 0.0000 0.5000
Be: 0.5000 0.5000 0.0000
Al: 0.5000 0.5000 0.5000
Cu: 0.1029 0.6335 0.6335
Cu: 0.1634 0.1634 0.6032
Cu: 0.1634 0.6032 0.1634
Cu: 0.3665 0.3665 0.8971
Cu: 0.3665 0.8971 0.3665
Cu: 0.3968 0.8366 0.8366
Cu: 0.6032 0.1634 0.1634
Cu: 0.6335 0.1029 0.6335
Cu: 0.6335 0.6335 0.1029
Cu: 0.8366 0.3968 0.8366
Cu: 0.8366 0.8366 0.3968
Cu: 0.8971 0.3665 0.3665

The calculated formation energy comes out at 0.29 eV/atom. Its space-group type is No. 166.



(10)
This record from the Alexandria database describes a geometry-optimized In2Ge2Cl structure. The functional is PBE.

Unit cell a=7.9598 b=7.9598 c=4.0603 alpha=90.00 beta=90.00 gamma=90.00
Positions (direct):
In: 0.1920 0.3080 0.0000
In: 0.3080 0.8080 0.0000
In: 0.6920 0.1920 0.0000
In: 0.8080 0.6920 0.0000
Ge: 0.1085 0.6085 0.5000
Ge: 0.3915 0.1085 0.5000
Ge: 0.6085 0.8915 0.5000
Ge: 0.8915 0.3915 0.5000
Cl: 0.0000 0.0000 0.0000
Cl: 0.5000 0.5000 0.0000

For the relative energy among the computed polymorphs, the calculation gives 57.5 meV per atom. Its space-group type is No. 127. As for the uncorrected formation energy: -0.0094 eV/atom.



(11)
This record from the Alexandria database describes a geometry-optimized VCdSbI2 structure. The functional is PBE.

Unit cell a=5.8344 b=5.8344 c=5.6569 alpha=90.00 beta=90.00 gamma=90.00
Positions (direct):
V: 0.0000 0.0000 0.0000
Cd: 0.5000 0.5000 0.5000
Sb: 0.5000 0.5000 0.0000
I: 0.0000 0.5000 0.5000
I: 0.5000 0.0000 0.5000

For the relative energy among the computed polymorphs, the calculation gives 642.1 meV per atom. Its space-group type is No. 123. As for the uncorrected formation energy: 0.8395 eV/atom.



(12)
This record from the Alexandria database describes a geometry-optimized PmSmSi2Pd2 structure. The functional is PBE.

Unit cell a=4.2083 b=4.2083 c=8.2840 alpha=90.00 beta=90.00 gamma=120.00
Positions (direct):
Pm: 0.0000 0.0000 0.0000
Sm: 0.0000 0.0000 0.5000
Si: 0.3333 0.6667 0.7498
Si: 0.6667 0.3333 0.2502
Pd: 0.3333 0.6667 0.2530
Pd: 0.6667 0.3333 0.7470

Its space-group type is No. 164. As for the uncorrected formation energy: -0.9080 eV/atom.



(13)
This record from the Alexandria database describes a geometry-optimized Na6CdIn12 structure. The functional is PBE.

Unit cell a=8.0502 b=8.0502 c=8.0502 alpha=92.74 beta=92.74 gamma=92.74
Positions (direct):
Na: 0.2178 0.3841 0.7605
Na: 0.2395 0.7822 0.6159
Na: 0.3841 0.7605 0.2178
Na: 0.6159 0.2395 0.7822
Na: 0.7605 0.2178 0.3841
Na: 0.7822 0.6159 0.2395
Cd: 0.5000 0.5000 0.5000
In: 0.0380 0.7153 0.9606
In: 0.0394 0.9620 0.2848
In: 0.1300 0.4447 0.3589
In: 0.2848 0.0394 0.9620
In: 0.3589 0.1300 0.4447
In: 0.4447 0.3589 0.1300
In: 0.5553 0.6411 0.8700
In: 0.6411 0.8700 0.5553
In: 0.7152 0.9606 0.0380
In: 0.8700 0.5553 0.6411
In: 0.9606 0.0380 0.7153
In: 0.9620 0.2848 0.0394

The calculated formation energy comes out at -0.06 eV/atom. Its space-group type is No. 148.



(14)
This record from the Alexandria database describes a geometry-optimized LiDyU2P4 structure. The functional is PBE.

Unit cell a=6.8187 b=3.9654 c=6.8369 alpha=90.00 beta=109.57 gamma=90.00
Positions (direct):
Li: 0.0000 0.0000 0.0000
Dy: 0.0000 0.5000 0.5000
U: 0.5000 0.0000 0.5000
U: 0.5000 0.5000 0.0000
P: 0.2570 0.0000 0.7532
P: 0.2645 0.5000 0.2559
P: 0.7355 0.5000 0.7441
P: 0.7430 0.0000 0.2468

The calculated formation energy comes out at -0.95 eV/atom. Its space-group type is No. 10.



(15)
This record from the Alexandria database describes a geometry-optimized Hf4GaSb3 structure. The functional is PBE.

Unit cell a=5.4703 b=10.9467 c=5.9349 alpha=90.00 beta=90.00 gamma=90.00
Positions (direct):
Hf: 0.2500 0.0012 0.1523
Hf: 0.2500 0.2500 0.8732
Hf: 0.2500 0.4988 0.1523
Hf: 0.2500 0.7500 0.8445
Hf: 0.7500 0.2500 0.1555
Hf: 0.7500 0.5012 0.8477
Hf: 0.7500 0.7500 0.1268
Hf: 0.7500 0.9988 0.8477
Ga: 0.2500 0.2500 0.3440
Ga: 0.7500 0.7500 0.6560
Sb: 0.2500 0.0062 0.6628
Sb: 0.2500 0.4938 0.6628
Sb: 0.2500 0.7500 0.3391
Sb: 0.7500 0.2500 0.6609
Sb: 0.7500 0.5062 0.3372
Sb: 0.7500 0.9938 0.3372

Its space-group type is No. 59. As for the uncorrected formation energy: -0.3859 eV/atom.



(16)
This record from the Alexandria database describes a geometry-optimized MgCo6Ge6 structure. The functional is PBE.

Unit cell a=6.3654 b=6.3654 c=6.3654 alpha=133.04 beta=105.56 gamma=92.83
Positions (direct):
Mg: 0.0000 0.0000 0.0000
Co: 0.0000 0.0000 0.5000
Co: 0.0000 0.5000 0.0000
Co: 0.2515 0.5000 0.7515
Co: 0.5000 0.0000 0.0000
Co: 0.5000 0.5000 0.5000
Co: 0.7485 0.5000 0.2485
Ge: 0.1671 0.6671 0.5000
Ge: 0.3340 0.3340 0.0000
Ge: 0.3373 0.0000 0.3373
Ge: 0.6627 0.0000 0.6627
Ge: 0.6660 0.6660 0.0000
Ge: 0.8329 0.3329 0.5000

For the relative energy among the computed polymorphs, the calculation gives 0.0 meV per atom. The calculated formation energy comes out at -0.24 eV/atom. Its space-group type is No. 71.



(17)
This record from the Alexandria database describes a geometry-optimized TlZnNiRh structure. The functional is PBE.

Unit cell a=4.4383 b=4.4383 c=4.4383 alpha=60.00 beta=60.00 gamma=60.00
Positions (direct):
Tl: 0.0000 0.0000 0.0000
Zn: 0.5000 0.5000 0.5000
Ni: 0.2500 0.2500 0.2500
Rh: 0.7500 0.7500 0.7500

The calculated formation energy comes out at 0.02 eV/atom. Its space-group type is No. 216.



(18)
This record from the Alexandria database describes a geometry-optimized P4OsCl structure. The functional is PBE.

Unit cell a=5.3215 b=5.3215 c=5.3215 alpha=60.00 beta=60.00 gamma=60.00
Positions (direct):
P: 0.1065 0.1065 0.1065
P: 0.1065 0.1065 0.6804
P: 0.1065 0.6804 0.1065
P: 0.6804 0.1065 0.1065
Os: 0.5000 0.5000 0.5000
Cl: 0.7500 0.7500 0.7500

Its space-group type is No. 216. As for the uncorrected formation energy: 1.1235 eV/atom.



(19)
This record from the Alexandria database describes a geometry-optimized LiMg2Os structure. The functional is PBE.

Unit cell a=2.7095 b=4.2129 c=5.8278 alpha=90.00 beta=92.66 gamma=90.00
Positions (direct):
Li: 0.0000 0.0000 0.0000
Mg: 0.4854 0.5000 0.2670
Mg: 0.5146 0.5000 0.7330
Os: 0.0000 0.0000 0.5000

The calculated formation energy comes out at 0.14 eV/atom. Its space-group type is No. 10.



(20)
This record from the Alexandria database describes a geometry-optimized MgV2InGa structure. The functional is PBE.

Unit cell a=5.2127 b=5.2127 c=4.9993 alpha=90.00 beta=90.00 gamma=90.00
Positions (direct):
Mg: 0.0000 0.0000 0.0000
V: 0.0000 0.5000 0.5000
V: 0.5000 0.0000 0.5000
In: 0.5000 0.5000 0.5000
Ga: 0.5000 0.5000 0.0000

The calculated formation energy comes out at 1.25 eV/atom. Its space-group type is No. 123.



(21)
This record from the Alexandria database describes a geometry-optimized PmTc6Ge8 structure. The functional is PBE.

Unit cell a=6.5599 b=6.5599 c=6.5599 alpha=83.84 beta=83.84 gamma=83.84
Positions (direct):
Pm: 0.0000 0.0000 0.0000
Tc: 0.2306 0.4096 0.5818
Tc: 0.4096 0.5818 0.2306
Tc: 0.4182 0.7694 0.5904
Tc: 0.5818 0.2306 0.4096
Tc: 0.5904 0.4181 0.7694
Tc: 0.7694 0.5904 0.4182
Ge: 0.0830 0.7752 0.4376
Ge: 0.2248 0.5624 0.9170
Ge: 0.2392 0.2392 0.2392
Ge: 0.4376 0.0830 0.7752
Ge: 0.5624 0.9170 0.2248
Ge: 0.7608 0.7608 0.7608
Ge: 0.7752 0.4376 0.0830
Ge: 0.9170 0.2248 0.5624

The calculated formation energy comes out at -0.03 eV/atom. Its space-group type is No. 148.



(22)
This record from the Alexandria database describes a geometry-optimized KRb3In structure. The functional is PBE.

Unit cell a=7.2976 b=7.2976 c=7.2976 alpha=90.00 beta=90.00 gamma=90.00
Positions (direct):
K: 0.0000 0.0000 0.0000
Rb: 0.0000 0.5000 0.5000
Rb: 0.5000 0.0000 0.5000
Rb: 0.5000 0.5000 0.0000
In: 0.5000 0.5000 0.5000

For the relative energy among the computed polymorphs, the calculation gives 120.6 meV per atom. The calculated formation energy comes out at 0.11 eV/atom. Its space-group type is No. 221.



(23)
This record from the Alexandria database describes a geometry-optimized Ac4OsI structure. The functional is PBE.

Unit cell a=7.8188 b=7.8188 c=10.3319 alpha=129.08 beta=129.08 gamma=31.44
Positions (direct):
Ac: 0.0565 0.0565 0.3669
Ac: 0.2574 0.2574 0.1817
Ac: 0.7426 0.7426 0.8183
Ac: 0.9435 0.9435 0.6331
Os: 0.5000 0.5000 0.5000
I: 0.5000 0.5000 0.0000

Its space-group type is No. 12. As for the uncorrected formation energy: -0.3643 eV/atom.



(24)
This record from the Alexandria database describes a geometry-optimized CeNd structure. The functional is PBE.

Unit cell a=3.8468 b=3.8468 c=10.3094 alpha=90.00 beta=90.00 gamma=120.00
Positions (direct):
Ce: 0.3333 0.6667 0.0745
Ce: 0.6667 0.3333 0.9255
Nd: 0.3333 0.6667 0.6417
Nd: 0.6667 0.3333 0.3583

For the relative energy among the computed polymorphs, the calculation gives 39.5 meV per atom. The calculated formation energy comes out at 0.14 eV/atom. Its space-group type is No. 164.



Number 1: V 15.39 Å³/atom, calculated density 15.657 g/cm³. Number 2: V 27.52 Å³/atom, calculated density 5.634 g/cm³. Number 3: V 16.66 Å³/atom, calculated density 16.512 g/cm³. Number 4: V 35.90 Å³/atom, calculated density 8.683 g/cm³. Number 5: V 15.87 Å³/atom, calculated density 8.609 g/cm³. Number 6: V 27.42 Å³/atom, calculated density 5.099 g/cm³. Number 7: V 18.86 Å³/atom, calculated density 10.482 g/cm³. Number 8: V 32.11 Å³/atom, calculated density 8.243 g/cm³. Number 9: V 15.61 Å³/atom, calculated density 6.804 g/cm³. Number 10: V 25.73 Å³/atom, calculated density 5.298 g/cm³. Number 11: V 38.51 Å³/atom, calculated density 4.647 g/cm³. Number 12: V 21.18 Å³/atom, calculated density 7.376 g/cm³. Number 13: V 27.36 Å³/atom, calculated density 5.201 g/cm³. Number 14: V 21.77 Å³/atom, calculated density 7.335 g/cm³. Number 15: V 22.21 Å³/atom, calculated density 10.737 g/cm³. Number 16: V 13.19 Å³/atom, calculated density 7.882 g/cm³. Number 17: V 15.45 Å³/atom, calculated density 11.588 g/cm³. Number 18: V 17.76 Å³/atom, calculated density 5.447 g/cm³. Number 19: V 16.61 Å³/atom, calculated density 6.142 g/cm³. Number 20: V 27.17 Å³/atom, calculated density 3.798 g/cm³. Number 21: V 18.52 Å³/atom, calculated density 7.857 g/cm³. Number 22: V 77.73 Å³/atom, calculated density 1.753 g/cm³. Number 23: V 41.49 Å³/atom, calculated density 8.171 g/cm³. Number 24: V 33.02 Å³/atom, calculated density 7.151 g/cm³.